(1)
## KMgGaBr4 (PBE)

Data for crystalline KMgGaBr4 at its relaxed geometry.

Results
DOS at the Fermi energy, states/eV/atom: 0.000
Crystal system: monoclinic
E_form (uncorrected), eV/atom: -1.2663

abc: 7.6612 7.7442 9.0377
angles: 90.00 108.18 90.00
Last column: nearest neighbours and their distance in Å.
Positions (direct):
K 0.2481 0.2500 0.0457  6 Br 3.28-3.49
K 0.7519 0.7500 0.9543  6 Br 3.28-3.49
Mg 0.2521 0.7500 0.3151  4 Br 2.49-2.52
Mg 0.7479 0.2500 0.6849  4 Br 2.49-2.52
Ga 0.2191 0.2500 0.5261  3 Br 2.96-3.09
Ga 0.7809 0.7500 0.4739  3 Br 2.96-3.09
Br 0.0327 0.0018 0.2558  1 Mg 2.52
Br 0.0327 0.4982 0.2558  1 Mg 2.52
Br 0.4435 0.7500 0.1372  1 Mg 2.49
Br 0.4609 0.7500 0.5909  1 Mg 2.51
Br 0.5391 0.2500 0.4091  1 Mg 2.51
Br 0.5565 0.2500 0.8628  1 Mg 2.49
Br 0.9673 0.5018 0.7442  1 Mg 2.52
Br 0.9673 0.9982 0.7442  1 Mg 2.52

---

(2)
## KNaGa2Br8 (PBE)

Data for crystalline KNaGa2Br8 at its relaxed geometry.

Results
DOS at the Fermi energy, states/eV/atom: 0.000
Crystal system: trigonal
E_form (uncorrected), eV/atom: -1.1296

abc: 10.7739 10.7739 10.7739
angles: 37.63 37.63 37.63
Last column: nearest neighbours and their distance in Å.
Positions (direct):
K 0.0000 0.0000 0.0000  12 Br 3.87-4.01
Na 0.5000 0.5000 0.5000  6 Br 3.09
Ga 0.2521 0.2521 0.2521  4 Br 2.36-2.37
Ga 0.7479 0.7479 0.7479  4 Br 2.36-2.37
Br 0.0832 0.7975 0.4358  1 Ga 2.37
Br 0.2025 0.5642 0.9168  1 Ga 2.37
Br 0.3308 0.3308 0.3308  1 Ga 2.36
Br 0.4358 0.0832 0.7975  1 Ga 2.37
Br 0.5642 0.9168 0.2025  1 Ga 2.37
Br 0.6692 0.6692 0.6692  1 Ga 2.36
Br 0.7975 0.4358 0.0832  1 Ga 2.37
Br 0.9168 0.2025 0.5642  1 Ga 2.37

---

(3)
## KNa2GaBr4 (PBE)

Data for crystalline KNa2GaBr4 at its relaxed geometry.

Results
DOS at the Fermi energy, states/eV/atom: 0.000
Crystal system: monoclinic
E_form (uncorrected), eV/atom: -1.3386

abc: 7.6352 4.4182 7.7541
angles: 90.00 109.18 90.00
Last column: nearest neighbours and their distance in Å.
Positions (direct):
K 0.0000 0.0000 0.0000  6 Br 3.26
Na 0.0000 0.5000 0.5000  6 Br 3.08
Na 0.5000 0.0000 0.5000  6 Br 3.02-3.03
Ga 0.5000 0.5000 0.0000  6 Br 3.20
Br 0.2499 0.0000 0.7312  3 Na 3.02-3.08, 2 Ga 3.20, 1 K 3.26
Br 0.2631 0.5000 0.2729  3 Na 3.03-3.08, 1 Ga 3.20, 2 K 3.26
Br 0.7369 0.5000 0.7271  3 Na 3.03-3.08, 1 Ga 3.20, 2 K 3.26
Br 0.7501 0.0000 0.2688  3 Na 3.02-3.08, 2 Ga 3.20, 1 K 3.26

---

(4)
## K2NaGaBr4 (PBE)

Data for crystalline K2NaGaBr4 at its relaxed geometry.

Results
DOS at the Fermi energy, states/eV/atom: 0.000
Crystal system: monoclinic
E_form (uncorrected), eV/atom: -1.3840

abc: 7.8815 4.5588 7.9138
angles: 90.00 109.39 90.00
Last column: nearest neighbours and their distance in Å.
Positions (direct):
K 0.0000 0.0000 0.0000  6 Br 3.34-3.35
K 0.0000 0.5000 0.5000  6 Br 3.28
Na 0.5000 0.0000 0.5000  6 Br 3.10-3.12
Ga 0.5000 0.5000 0.0000  6 Br 3.18
Br 0.2680 0.0000 0.7483  1 Na 3.10, 2 Ga 3.18, 3 K 3.28-3.35
Br 0.2712 0.5000 0.2632  2 Na 3.12, 1 Ga 3.18, 3 K 3.28-3.34
Br 0.7288 0.5000 0.7368  2 Na 3.12, 1 Ga 3.18, 3 K 3.28-3.34
Br 0.7320 0.0000 0.2517  1 Na 3.10, 2 Ga 3.18, 3 K 3.28-3.35

---

(5)
## KNpGaBr6 (PBE)

Data for crystalline KNpGaBr6 at its relaxed geometry.

Results
DOS at the Fermi energy, states/eV/atom: 0.443
Crystal system: tetragonal
E_form (uncorrected), eV/atom: -1.2145

abc: 7.2787 7.2787 13.6295
angles: 90.00 90.00 90.00
Last column: nearest neighbours and their distance in Å.
Positions (direct):
K 0.0000 0.0000 0.0000  6 Br 3.31-3.32
K 0.5000 0.5000 0.5000  6 Br 3.31-3.32
Np 0.0000 0.0000 0.6629  6 Br 2.77-2.80
Np 0.5000 0.5000 0.1629  6 Br 2.77-2.80
Ga 0.0000 0.0000 0.3356  6 Br 2.98-3.28
Ga 0.5000 0.5000 0.8356  6 Br 2.98-3.28
Br 0.1787 0.1787 0.5077  1 Np 2.80, 1 Ga 2.98
Br 0.1938 0.1938 0.8052  1 Np 2.78
Br 0.2308 0.2308 0.1695  1 Np 2.77
Br 0.2692 0.7308 0.6695  1 Np 2.77
Br 0.3062 0.6938 0.3052  1 Np 2.78
Br 0.3213 0.6787 0.0077  1 Np 2.80, 1 Ga 2.98
Br 0.6787 0.3213 0.0077  1 Np 2.80, 1 Ga 2.98
Br 0.6938 0.3062 0.3052  1 Np 2.78
Br 0.7308 0.2692 0.6695  1 Np 2.77
Br 0.7692 0.7692 0.1695  1 Np 2.77
Br 0.8062 0.8062 0.8052  1 Np 2.78
Br 0.8213 0.8213 0.5077  1 Np 2.80, 1 Ga 2.98

---

(6)
## KGaBr2O (PBE)

Data for crystalline KGaBr2O at its relaxed geometry.

Results
DOS at the Fermi energy, states/eV/atom: 0.164
Crystal system: tetragonal
E_form (uncorrected), eV/atom: -0.8533

abc: 6.2855 6.2855 3.4869
angles: 90.00 90.00 90.00
Last column: nearest neighbours and their distance in Å.
Positions (direct):
K 0.0000 0.0000 0.0000  2 K 3.49, 8 Br 3.59
Ga 0.5000 0.5000 0.0000  2 O 1.74
Br 0.0000 0.5000 0.5000  2 O 3.14, 2 Br 3.49
Br 0.5000 0.0000 0.5000  2 O 3.14, 2 Br 3.49
O 0.5000 0.5000 0.5000  2 Ga 1.74

---

(7)
## K2GaPbBr5 (PBE)

Data for crystalline K2GaPbBr5 at its relaxed geometry.

Results
DOS at the Fermi energy, states/eV/atom: 0.000
Crystal system: orthorhombic
E_form (uncorrected), eV/atom: -1.1841

abc: 9.9092 9.9092 15.3657
angles: 90.00 90.00 153.32
Last column: nearest neighbours and their distance in Å.
Positions (direct):
K 0.0799 0.9201 0.5000  6 Br 3.29-3.41
K 0.1290 0.8710 0.1410  6 Br 3.37-3.75
K 0.8710 0.1290 0.6410  6 Br 3.37-3.75
K 0.9201 0.0799 0.0000  6 Br 3.29-3.41
Ga 0.4526 0.5474 0.2952  5 Br 2.95-3.29
Ga 0.5474 0.4526 0.7952  5 Br 2.95-3.29
Pb 0.2344 0.7656 0.8782  6 Br 3.01-3.13
Pb 0.7656 0.2344 0.3782  6 Br 3.01-3.13
Br 0.0818 0.9182 0.9190  1 Pb 3.01, 2 Ga 3.05, 1 K 3.36
Br 0.2531 0.7469 0.5163  2 Pb 3.13, 1 K 3.35
Br 0.2866 0.7134 0.2471  2 Pb 3.07, 1 Ga 3.29
Br 0.3895 0.6105 0.8397  1 Pb 3.05, 1 Ga 3.12, 2 K 3.41
Br 0.4975 0.5025 0.6136  1 Ga 2.95, 2 K 3.29
Br 0.5025 0.4975 0.1136  1 Ga 2.95, 2 K 3.29
Br 0.6105 0.3895 0.3397  1 Pb 3.05, 1 Ga 3.12, 2 K 3.41
Br 0.7134 0.2866 0.7471  2 Pb 3.07, 1 Ga 3.29
Br 0.7469 0.2531 0.0163  2 Pb 3.13, 1 K 3.35
Br 0.9182 0.0818 0.4190  1 Pb 3.01, 2 Ga 3.05, 1 K 3.36

---

(8)
## K2PmGaBr6 (PBE)

Data for crystalline K2PmGaBr6 at its relaxed geometry.

Results
DOS at the Fermi energy, states/eV/atom: 0.000
Crystal system: trigonal
E_form (uncorrected), eV/atom: -1.5724

abc: 8.3223 8.3223 8.3223
angles: 57.82 57.82 57.82
Last column: nearest neighbours and their distance in Å.
Positions (direct):
K 0.0000 0.0000 0.0000  6 Br 3.31-3.41
K 0.4924 0.4924 0.4924  6 Br 3.33-3.44
Pm 0.7030 0.7030 0.7030  6 Br 2.87-2.91
Ga 0.2105 0.2105 0.2105  6 Br 3.07-3.26
Br 0.0457 0.4514 0.8354  1 Pm 2.87
Br 0.3539 0.9200 0.5752  1 Pm 2.91, 1 Ga 3.07
Br 0.4514 0.8354 0.0457  1 Pm 2.87
Br 0.5752 0.3539 0.9200  1 Pm 2.91, 1 Ga 3.07
Br 0.8354 0.0457 0.4514  1 Pm 2.87
Br 0.9200 0.5752 0.3539  1 Pm 2.91, 1 Ga 3.07

---

(9)
## KRbGa2Br4 (PBE)

Data for crystalline KRbGa2Br4 at its relaxed geometry.

Results
DOS at the Fermi energy, states/eV/atom: 0.000
Crystal system: monoclinic
E_form (uncorrected), eV/atom: -1.1228

abc: 8.0532 4.6838 8.1008
angles: 90.00 109.67 90.00
Last column: nearest neighbours and their distance in Å.
Positions (direct):
K 0.0000 0.0000 0.0000  6 Br 3.36
Rb 0.0000 0.5000 0.5000  6 Br 3.41-3.42
Ga 0.5000 0.0000 0.5000  6 Br 3.25-3.26
Ga 0.5000 0.5000 0.0000  6 Br 3.19
Br 0.2668 0.5000 0.2501  3 Ga 3.19-3.25, 2 K 3.36, 1 Rb 3.41
Br 0.2713 0.0000 0.7636  3 Ga 3.19-3.26, 1 K 3.36, 2 Rb 3.42
Br 0.7287 0.0000 0.2364  3 Ga 3.19-3.26, 1 K 3.36, 2 Rb 3.42
Br 0.7332 0.5000 0.7499  3 Ga 3.19-3.25, 2 K 3.36, 1 Rb 3.41

---

(10)
## K2RbGaBr4 (PBE)

Data for crystalline K2RbGaBr4 at its relaxed geometry.

Results
DOS at the Fermi energy, states/eV/atom: 0.000
Crystal system: monoclinic
E_form (uncorrected), eV/atom: -1.4314

abc: 8.1883 4.7410 8.1965
angles: 90.00 109.45 90.00
Last column: nearest neighbours and their distance in Å.
Positions (direct):
K 0.0000 0.0000 0.0000  6 Br 3.41-3.42
K 0.5000 0.5000 0.0000  6 Br 3.29-3.30
Rb 0.0000 0.5000 0.5000  6 Br 3.40
Ga 0.5000 0.0000 0.5000  6 Br 3.27-3.29
Br 0.2634 0.0000 0.7529  1 Ga 3.27, 3 K 3.30-3.42, 2 Rb 3.40
Br 0.2627 0.5000 0.2547  2 Ga 3.29, 3 K 3.29-3.41, 1 Rb 3.40
Br 0.7366 0.0000 0.2471  1 Ga 3.27, 3 K 3.30-3.42, 2 Rb 3.40
Br 0.7373 0.5000 0.7453  2 Ga 3.29, 3 K 3.29-3.41, 1 Rb 3.40

---

(11)
## KRb2GaBr4 (PBE)

Data for crystalline KRb2GaBr4 at its relaxed geometry.

Results
DOS at the Fermi energy, states/eV/atom: 0.000
Crystal system: monoclinic
E_form (uncorrected), eV/atom: -1.4332

abc: 8.2737 4.7918 8.2812
angles: 90.00 109.49 90.00
Last column: nearest neighbours and their distance in Å.
Positions (direct):
K 0.0000 0.0000 0.0000  6 Br 3.33
Rb 0.0000 0.5000 0.5000  6 Br 3.50
Rb 0.5000 0.0000 0.5000  6 Br 3.44
Ga 0.5000 0.5000 0.0000  6 Br 3.26-3.27
Br 0.2505 0.5000 0.2332  1 Ga 3.26, 2 K 3.33, 3 Rb 3.44-3.50
Br 0.2627 0.0000 0.7707  2 Ga 3.27, 1 K 3.33, 3 Rb 3.44-3.50
Br 0.7373 0.0000 0.2293  2 Ga 3.27, 1 K 3.33, 3 Rb 3.44-3.50
Br 0.7495 0.5000 0.7668  1 Ga 3.26, 2 K 3.33, 3 Rb 3.44-3.50

---

(12)
## KGaS2Br (PBE)

Data for crystalline KGaS2Br at its relaxed geometry.

Results
DOS at the Fermi energy, states/eV/atom: 0.538
Crystal system: tetragonal
E_form (uncorrected), eV/atom: -0.4194

abc: 4.5975 4.5975 10.7512
angles: 90.00 90.00 90.00
Last column: nearest neighbours and their distance in Å.
Positions (direct):
K 0.0000 0.0000 0.0000  4 Br 3.25
Ga 0.0000 0.0000 0.5000  4 S 2.30
S 0.0000 0.5000 0.5000  2 Ga 2.30
S 0.5000 0.0000 0.5000  2 Ga 2.30
Br 0.5000 0.5000 0.0000  4 K 3.25